Crystalline AcSm4Hg5 at its relaxed geometry. Source: the Alexandria database, functional GGA-PBE.

Summary:
- ΔH_f (0 K): -0.4661 eV/atom
- Size of the total moment: 1.8 μB/f.u.

a = 3.8439 Å, b = 3.8439 Å, c = 19.2222 Å
α = 90.00°, β = 90.00°, γ = 90.00°
Sites, in units of the cell vectors:
Ac: 0.0000 0.0000 0.0000
Sm: 0.0000 0.0000 0.2094
Sm: 0.0000 0.0000 0.4034
Sm: 0.0000 0.0000 0.5966
Sm: 0.0000 0.0000 0.7906
Hg: 0.5000 0.5000 0.1152
Hg: 0.5000 0.5000 0.3058
Hg: 0.5000 0.5000 0.5000
Hg: 0.5000 0.5000 0.6942
Hg: 0.5000 0.5000 0.8848